This record from Alexandria via LeMat-Bulk describes a geometry-optimized La4Sm3Dy4 structure. The functional is GGA-PBE.

Unit cell a=10.836 b=6.705 c=6.705 alpha=51.21 beta=90.00 gamma=90.00
Fractional coordinates of all 11 atoms:
La (0.000, 0.000, 0.000)
La (0.207, 0.803, 0.803)
La (0.500, 0.919, 0.919)
La (0.793, 0.803, 0.803)
Sm (0.000, 0.293, 0.293)
Sm (0.289, 0.454, 0.454)
Sm (0.711, 0.454, 0.454)
Dy (0.000, 0.594, 0.594)
Dy (0.306, 0.148, 0.148)
Dy (0.500, 0.646, 0.646)
Dy (0.694, 0.148, 0.148)

DOS at the Fermi energy = 1.652 states/eV per atom
Crystal system = orthorhombic
E above lowest polymorph = 0.26 eV per formula unit
Total magnetic moment = 0.00 μB/f.u.
Formation energy = 1.62 eV/f.u.